Entry 1:
The following is a GGA-PBE calculation of a geometry-optimized Hg2RhW structure, from Alexandria.

Cell: 5.209 5.209 2.884 Å, 90.00 90.00 114.28°
Atoms (fractional coordinates):
1 Rh 0.000 0.000 0.500
2 W 0.500 0.500 0.500
3 Hg 0.500 0.000 0.000
4 Hg 0.000 0.500 0.000

Computed properties:
energy = -4.5500 eV/atom
total magnetization = 0.0 μB per cell
space group = Cmmm, No. 65
ΔH_f (0 K) = 0.68 eV per atom

***

Entry 2:
The following is a GGA-PBE calculation of a geometry-optimized NaHfSc2 structure, from Alexandria.

Cell: 12.302 12.302 12.302 Å, 14.49 14.49 14.49°
Atoms (fractional coordinates):
1 Sc 0.082 0.082 0.082
2 Hf 0.000 0.000 0.000
3 Na 0.500 0.500 0.500
4 Sc 0.918 0.918 0.918

Computed properties:
energy = -5.5396 eV/atom
total magnetization = 0.0 μB per cell
space group = R-3m, No. 166
ΔH_f (0 K) = 0.44 eV per atom

***

Entry 3:
The following is a GGA-PBE calculation of a geometry-optimized Y3Pb2N structure, from Alexandria.

Cell: 6.549 6.846 7.814 Å, 101.11 114.78 90.00°
Atoms (fractional coordinates):
1 N 0.066 0.250 0.000
2 N 0.934 0.750 0.000
3 Y 0.825 0.402 0.770
4 Y 0.175 0.598 0.230
5 Pb 0.251 0.431 0.629
6 Y 0.945 0.902 0.770
7 Pb 0.622 0.069 0.371
8 Y 0.055 0.098 0.230
9 Pb 0.378 0.931 0.629
10 Y 0.589 0.750 0.000
11 Pb 0.749 0.569 0.371
12 Y 0.411 0.250 0.000

Computed properties:
energy = -6.6249 eV/atom
total magnetization = 0.0 μB per cell
uncorrected formation energy = -769 meV per atom
space group = C2/c, No. 15

***

Entry 4:
The following is a GGA-PBE calculation of a geometry-optimized Mn2TcSb structure, from Alexandria.

Cell: 4.689 4.689 4.689 Å, 130.33 130.32 72.89°
Last column: magnetic moment on the atom in μB.
Atoms (fractional coordinates):
1 Mn 0.750 0.250 0.500  2.46
2 Sb 0.500 0.500 0.000  -0.05
3 Mn 0.000 0.000 0.000  1.70
4 Tc 0.250 0.750 0.500  0.06

Computed properties:
energy = -8.0495 eV/atom
total magnetization = 4.3 μB per cell
uncorrected formation energy = 157 meV per atom
space group = I-4m2, No. 119

***

Entry 5:
The following is a GGA-PBE calculation of a geometry-optimized ZrNbRh3 structure, from Alexandria.

Cell: 4.693 4.693 4.693 Å, 90.00 90.00 90.00°
Atoms (fractional coordinates):
1 Zr 0.500 0.500 0.500
2 Rh 0.000 0.000 0.500
3 Nb 0.000 0.000 0.000
4 Rh 0.500 0.000 0.000
5 Rh 0.000 0.500 0.000

Computed properties:
energy = -7.5932 eV/atom
total magnetization = 0.0 μB per cell
space group = Pm-3m, No. 221
ΔH_f (0 K) = 0.54 eV per atom

***

Entry 6:
The following is a GGA-PBE calculation of a geometry-optimized Ba2DySnSe5 structure, from Alexandria.

Cell: 4.478 9.678 13.376 Å, 90.00 90.00 103.38°
Atoms (fractional coordinates):
1 Ba 0.885 0.770 0.182
2 Dy 0.788 0.576 0.520
3 Ba 0.134 0.269 0.312
4 Se 0.494 0.988 0.766
5 Se 0.713 0.425 0.157
6 Se 0.287 0.575 0.657
7 Se 0.506 0.012 0.266
8 Se 0.946 0.893 0.562
9 Se 0.641 0.282 0.500
10 Dy 0.212 0.424 0.020
11 Se 0.684 0.368 0.876
12 Se 0.359 0.718 0.000
13 Ba 0.115 0.230 0.682
14 Sn 0.454 0.908 0.450
15 Se 0.316 0.632 0.376
16 Se 0.054 0.107 0.062
17 Ba 0.866 0.731 0.812
18 Sn 0.546 0.092 0.950

Computed properties:
energy = -4.8602 eV/atom
total magnetization = 0.0 μB per cell
uncorrected formation energy = -1541 meV per atom
space group = Cmc2_1, No. 36